Entry 1:
# CeAgSnAu PBE relaxed
# formation enthalpy at 0 K: -484 meV per atom
data_CeAgSnAu
_chemical_formula_sum 'Ce4 Ag4 Sn4 Au4'
_space_group_name_H-M_alt 'P 1'
_space_group_IT_number 1
_space_group_name_Hall 'P 1'
_cell_length_a 7.1429
_cell_length_b 7.1429
_cell_length_c 7.1429
_cell_angle_alpha 90.00
_cell_angle_beta 90.00
_cell_angle_gamma 90.00
loop_
_atom_site_label
_atom_site_type_symbol
_atom_site_fract_x
_atom_site_fract_y
_atom_site_fract_z
_atom_site_occupancy
Ce1 Ce 0.0000 0.0000 0.0000 1
Ce2 Ce 0.0000 0.5000 0.5000 1
Ce3 Ce 0.5000 0.0000 0.5000 1
Ce4 Ce 0.5000 0.5000 0.0000 1
Ag1 Ag 0.2500 0.2500 0.2500 1
Ag2 Ag 0.2500 0.7500 0.7500 1
Ag3 Ag 0.7500 0.2500 0.7500 1
Ag4 Ag 0.7500 0.7500 0.2500 1
Sn1 Sn 0.0000 0.0000 0.5000 1
Sn2 Sn 0.0000 0.5000 0.0000 1
Sn3 Sn 0.5000 0.0000 0.0000 1
Sn4 Sn 0.5000 0.5000 0.5000 1
Au1 Au 0.2500 0.2500 0.7500 1
Au2 Au 0.2500 0.7500 0.2500 1
Au3 Au 0.7500 0.2500 0.2500 1
Au4 Au 0.7500 0.7500 0.7500 1

Entry 2:
# Sr2CeAgAu6 PBE relaxed
# formation enthalpy at 0 K: -139 meV per atom
data_Sr2CeAgAu6
_chemical_formula_sum 'Sr2 Ce1 Ag1 Au6'
_space_group_name_H-M_alt 'P 1'
_space_group_IT_number 1
_space_group_name_Hall 'P 1'
_cell_length_a 7.6207
_cell_length_b 7.6207
_cell_length_c 7.6207
_cell_angle_alpha 60.00
_cell_angle_beta 60.00
_cell_angle_gamma 60.00
loop_
_atom_site_label
_atom_site_type_symbol
_atom_site_fract_x
_atom_site_fract_y
_atom_site_fract_z
_atom_site_occupancy
Sr1 Sr 0.2500 0.2500 0.2500 1
Sr2 Sr 0.7500 0.7500 0.7500 1
Ce1 Ce 0.0000 0.0000 0.0000 1
Ag1 Ag 0.5000 0.5000 0.5000 1
Au1 Au 0.2564 0.2564 0.7436 1
Au2 Au 0.2564 0.7436 0.2564 1
Au3 Au 0.2564 0.7436 0.7436 1
Au4 Au 0.7436 0.2564 0.2564 1
Au5 Au 0.7436 0.2564 0.7436 1
Au6 Au 0.7436 0.7436 0.2564 1

Entry 3:
# CeThAgAu PBE relaxed
# ΔE to the lowest computed polymorph: 0.000 eV per atom
# formation enthalpy at 0 K: -316 meV per atom
data_CeThAgAu
_chemical_formula_sum 'Ce2 Th2 Ag2 Au2'
_space_group_name_H-M_alt 'P 1'
_space_group_IT_number 1
_space_group_name_Hall 'P 1'
_cell_length_a 4.7223
_cell_length_b 3.7488
_cell_length_c 11.8151
_cell_angle_alpha 90.00
_cell_angle_beta 90.00
_cell_angle_gamma 90.00
loop_
_atom_site_label
_atom_site_type_symbol
_atom_site_fract_x
_atom_site_fract_y
_atom_site_fract_z
_atom_site_occupancy
Ce1 Ce 0.0000 0.0000 0.0000 1
Ce2 Ce 0.0000 0.5000 0.5000 1
Th1 Th 0.5000 0.0000 0.7005 1
Th2 Th 0.5000 0.5000 0.2005 1
Ag1 Ag 0.0000 0.0000 0.2776 1
Ag2 Ag 0.0000 0.5000 0.7776 1
Au1 Au 0.5000 0.0000 0.4273 1
Au2 Au 0.5000 0.5000 0.9273 1

Entry 4:
# CeThAgAu PBE relaxed
# ΔE to the lowest computed polymorph: 0.017 eV per atom
# formation enthalpy at 0 K: -300 meV per atom
data_CeThAgAu
_chemical_formula_sum 'Ce4 Th4 Ag4 Au4'
_space_group_name_H-M_alt 'P 1'
_space_group_IT_number 1
_space_group_name_Hall 'P 1'
_cell_length_a 7.4282
_cell_length_b 7.4282
_cell_length_c 7.4282
_cell_angle_alpha 90.00
_cell_angle_beta 90.00
_cell_angle_gamma 90.00
loop_
_atom_site_label
_atom_site_type_symbol
_atom_site_fract_x
_atom_site_fract_y
_atom_site_fract_z
_atom_site_occupancy
Ce1 Ce 0.0000 0.0000 0.0000 1
Ce2 Ce 0.0000 0.5000 0.5000 1
Ce3 Ce 0.5000 0.0000 0.5000 1
Ce4 Ce 0.5000 0.5000 0.0000 1
Th1 Th 0.0000 0.0000 0.5000 1
Th2 Th 0.0000 0.5000 0.0000 1
Th3 Th 0.5000 0.0000 0.0000 1
Th4 Th 0.5000 0.5000 0.5000 1
Ag1 Ag 0.2500 0.2500 0.7500 1
Ag2 Ag 0.2500 0.7500 0.2500 1
Ag3 Ag 0.7500 0.2500 0.2500 1
Ag4 Ag 0.7500 0.7500 0.7500 1
Au1 Au 0.2500 0.2500 0.2500 1
Au2 Au 0.2500 0.7500 0.7500 1
Au3 Au 0.7500 0.2500 0.7500 1
Au4 Au 0.7500 0.7500 0.2500 1

Entry 5:
# CeTlAgAu PBE relaxed
# formation enthalpy at 0 K: -334 meV per atom
data_CeTlAgAu
_chemical_formula_sum 'Ce4 Tl4 Ag4 Au4'
_space_group_name_H-M_alt 'P 1'
_space_group_IT_number 1
_space_group_name_Hall 'P 1'
_cell_length_a 7.1938
_cell_length_b 7.1938
_cell_length_c 7.1938
_cell_angle_alpha 90.00
_cell_angle_beta 90.00
_cell_angle_gamma 90.00
loop_
_atom_site_label
_atom_site_type_symbol
_atom_site_fract_x
_atom_site_fract_y
_atom_site_fract_z
_atom_site_occupancy
Ce1 Ce 0.0000 0.0000 0.0000 1
Ce2 Ce 0.0000 0.5000 0.5000 1
Ce3 Ce 0.5000 0.0000 0.5000 1
Ce4 Ce 0.5000 0.5000 0.0000 1
Tl1 Tl 0.0000 0.0000 0.5000 1
Tl2 Tl 0.0000 0.5000 0.0000 1
Tl3 Tl 0.5000 0.0000 0.0000 1
Tl4 Tl 0.5000 0.5000 0.5000 1
Ag1 Ag 0.2500 0.2500 0.7500 1
Ag2 Ag 0.2500 0.7500 0.2500 1
Ag3 Ag 0.7500 0.2500 0.2500 1
Ag4 Ag 0.7500 0.7500 0.7500 1
Au1 Au 0.2500 0.2500 0.2500 1
Au2 Au 0.2500 0.7500 0.7500 1
Au3 Au 0.7500 0.2500 0.7500 1
Au4 Au 0.7500 0.7500 0.2500 1

Entry 6:
# Ce3Zn6Ag2Au PBE relaxed
# formation enthalpy at 0 K: -182 meV per atom
data_Ce3Zn6Ag2Au
_chemical_formula_sum 'Ce3 Zn6 Ag2 Au1'
_space_group_name_H-M_alt 'P 1'
_space_group_IT_number 1
_space_group_name_Hall 'P 1'
_cell_length_a 5.2583
_cell_length_b 5.2583
_cell_length_c 10.4113
_cell_angle_alpha 90.00
_cell_angle_beta 90.00
_cell_angle_gamma 120.00
loop_
_atom_site_label
_atom_site_type_symbol
_atom_site_fract_x
_atom_site_fract_y
_atom_site_fract_z
_atom_site_occupancy
Ce1 Ce 0.0000 0.0000 0.0000 1
Ce2 Ce 0.3333 0.6667 0.5542 1
Ce3 Ce 0.6667 0.3333 0.4458 1
Zn1 Zn 0.1687 0.3375 0.2651 1
Zn2 Zn 0.1687 0.8313 0.2651 1
Zn3 Zn 0.3375 0.1687 0.7349 1
Zn4 Zn 0.6625 0.8313 0.2651 1
Zn5 Zn 0.8313 0.1687 0.7349 1
Zn6 Zn 0.8313 0.6625 0.7349 1
Ag1 Ag 0.3333 0.6667 0.8537 1
Ag2 Ag 0.6667 0.3333 0.1463 1
Au1 Au 0.0000 0.0000 0.5000 1

Entry 7:
# CeZn2AgAu2 PBE relaxed
# formation enthalpy at 0 K: -401 meV per atom
data_CeZn2AgAu2
_chemical_formula_sum 'Ce1 Zn2 Ag1 Au2'
_space_group_name_H-M_alt 'P 1'
_space_group_IT_number 1
_space_group_name_Hall 'P 1'
_cell_length_a 4.5568
_cell_length_b 4.5568
_cell_length_c 6.6591
_cell_angle_alpha 90.00
_cell_angle_beta 90.00
_cell_angle_gamma 120.00
loop_
_atom_site_label
_atom_site_type_symbol
_atom_site_fract_x
_atom_site_fract_y
_atom_site_fract_z
_atom_site_occupancy
Ce1 Ce 0.0000 0.0000 0.0000 1
Zn1 Zn 0.3333 0.6667 0.6874 1
Zn2 Zn 0.6667 0.3333 0.3126 1
Ag1 Ag 0.0000 0.0000 0.5000 1
Au1 Au 0.3333 0.6667 0.2651 1
Au2 Au 0.6667 0.3333 0.7349 1

Entry 8:
# CeZn2AgAu5 PBE relaxed
# formation enthalpy at 0 K: -196 meV per atom
data_CeZn2AgAu5
_chemical_formula_sum 'Ce1 Zn2 Ag1 Au5'
_space_group_name_H-M_alt 'P 1'
_space_group_IT_number 1
_space_group_name_Hall 'P 1'
_cell_length_a 4.8750
_cell_length_b 4.8750
_cell_length_c 7.7570
_cell_angle_alpha 90.00
_cell_angle_beta 90.00
_cell_angle_gamma 90.00
loop_
_atom_site_label
_atom_site_type_symbol
_atom_site_fract_x
_atom_site_fract_y
_atom_site_fract_z
_atom_site_occupancy
Ce1 Ce 0.0000 0.0000 0.0000 1
Zn1 Zn 0.5000 0.5000 0.3461 1
Zn2 Zn 0.5000 0.5000 0.6539 1
Ag1 Ag 0.0000 0.0000 0.5000 1
Au1 Au 0.0000 0.5000 0.2521 1
Au2 Au 0.0000 0.5000 0.7479 1
Au3 Au 0.5000 0.0000 0.2521 1
Au4 Au 0.5000 0.0000 0.7479 1
Au5 Au 0.5000 0.5000 0.0000 1

Entry 9:
# Ce2Zn4AgAu3 PBE relaxed
# formation enthalpy at 0 K: -397 meV per atom
data_Ce2Zn4AgAu3
_chemical_formula_sum 'Ce2 Zn4 Ag1 Au3'
_space_group_name_H-M_alt 'P 1'
_space_group_IT_number 1
_space_group_name_Hall 'P 1'
_cell_length_a 4.2319
_cell_length_b 4.2319
_cell_length_c 11.4982
_cell_angle_alpha 90.00
_cell_angle_beta 90.00
_cell_angle_gamma 90.00
loop_
_atom_site_label
_atom_site_type_symbol
_atom_site_fract_x
_atom_site_fract_y
_atom_site_fract_z
_atom_site_occupancy
Ce1 Ce 0.0000 0.5000 0.2443 1
Ce2 Ce 0.5000 0.0000 0.7557 1
Zn1 Zn 0.0000 0.0000 0.0000 1
Zn2 Zn 0.0000 0.5000 0.6363 1
Zn3 Zn 0.5000 0.0000 0.3637 1
Zn4 Zn 0.5000 0.5000 0.0000 1
Ag1 Ag 0.0000 0.0000 0.5000 1
Au1 Au 0.0000 0.5000 0.8589 1
Au2 Au 0.5000 0.0000 0.1411 1
Au3 Au 0.5000 0.5000 0.5000 1

Entry 10:
# CeZrAgAu PBE relaxed
# formation enthalpy at 0 K: -199 meV per atom
data_CeZrAgAu
_chemical_formula_sum 'Ce4 Zr4 Ag4 Au4'
_space_group_name_H-M_alt 'P 1'
_space_group_IT_number 1
_space_group_name_Hall 'P 1'
_cell_length_a 7.1609
_cell_length_b 7.1609
_cell_length_c 7.1609
_cell_angle_alpha 90.00
_cell_angle_beta 90.00
_cell_angle_gamma 90.00
loop_
_atom_site_label
_atom_site_type_symbol
_atom_site_fract_x
_atom_site_fract_y
_atom_site_fract_z
_atom_site_occupancy
Ce1 Ce 0.0000 0.0000 0.0000 1
Ce2 Ce 0.0000 0.5000 0.5000 1
Ce3 Ce 0.5000 0.0000 0.5000 1
Ce4 Ce 0.5000 0.5000 0.0000 1
Zr1 Zr 0.0000 0.0000 0.5000 1
Zr2 Zr 0.0000 0.5000 0.0000 1
Zr3 Zr 0.5000 0.0000 0.0000 1
Zr4 Zr 0.5000 0.5000 0.5000 1
Ag1 Ag 0.2500 0.2500 0.2500 1
Ag2 Ag 0.2500 0.7500 0.7500 1
Ag3 Ag 0.7500 0.2500 0.7500 1
Ag4 Ag 0.7500 0.7500 0.2500 1
Au1 Au 0.2500 0.2500 0.7500 1
Au2 Au 0.2500 0.7500 0.2500 1
Au3 Au 0.7500 0.2500 0.2500 1
Au4 Au 0.7500 0.7500 0.7500 1

Entry 11:
# AgAuCl2 PBE relaxed
# ΔE to the lowest computed polymorph: 0.333 eV per atom
# ΔE_f (raw): 0.028 eV per atom
data_AgAuCl2
_chemical_formula_sum 'Ag2 Au2 Cl4'
_space_group_name_H-M_alt 'P 1'
_space_group_IT_number 1
_space_group_name_Hall 'P 1'
_cell_length_a 6.8560
_cell_length_b 6.8654
_cell_length_c 3.4076
_cell_angle_alpha 90.00
_cell_angle_beta 90.00
_cell_angle_gamma 90.00
loop_
_atom_site_label
_atom_site_type_symbol
_atom_site_fract_x
_atom_site_fract_y
_atom_site_fract_z
_atom_site_occupancy
Ag1 Ag 0.0000 0.0000 0.0000 1
Ag2 Ag 0.5000 0.5000 0.0000 1
Au1 Au 0.0000 0.5000 0.0000 1
Au2 Au 0.5000 0.0000 0.0000 1
Cl1 Cl 0.2500 0.2500 0.5000 1
Cl2 Cl 0.2500 0.7500 0.5000 1
Cl3 Cl 0.7500 0.2500 0.5000 1
Cl4 Cl 0.7500 0.7500 0.5000 1

Entry 12:
# AgAuCl2 PBE relaxed
# ΔE to the lowest computed polymorph: 0.339 eV per atom
# ΔE_f (raw): 0.033 eV per atom
data_AgAuCl2
_chemical_formula_sum 'Ag4 Au4 Cl8'
_space_group_name_H-M_alt 'P 1'
_space_group_IT_number 1
_space_group_name_Hall 'P 1'
_cell_length_a 6.8472
_cell_length_b 6.8472
_cell_length_c 6.8472
_cell_angle_alpha 90.00
_cell_angle_beta 90.00
_cell_angle_gamma 90.00
loop_
_atom_site_label
_atom_site_type_symbol
_atom_site_fract_x
_atom_site_fract_y
_atom_site_fract_z
_atom_site_occupancy
Ag1 Ag 0.0000 0.0000 0.0000 1
Ag2 Ag 0.0000 0.5000 0.5000 1
Ag3 Ag 0.5000 0.0000 0.5000 1
Ag4 Ag 0.5000 0.5000 0.0000 1
Au1 Au 0.0000 0.0000 0.5000 1
Au2 Au 0.0000 0.5000 0.0000 1
Au3 Au 0.5000 0.0000 0.0000 1
Au4 Au 0.5000 0.5000 0.5000 1
Cl1 Cl 0.2500 0.2500 0.2500 1
Cl2 Cl 0.2500 0.2500 0.7500 1
Cl3 Cl 0.2500 0.7500 0.2500 1
Cl4 Cl 0.2500 0.7500 0.7500 1
Cl5 Cl 0.7500 0.2500 0.2500 1
Cl6 Cl 0.7500 0.2500 0.7500 1
Cl7 Cl 0.7500 0.7500 0.2500 1
Cl8 Cl 0.7500 0.7500 0.7500 1

Calculated total moment (μB per formula unit), listed in the same order as above: 0.65 0.89 1.17 1.43 0.67 2.57 0.84 0.86 1.73 2.00 0.00 0.00